No. 1
Computed, not measured: a relaxed Na3Pm2BiSe6 crystal at the GGA-PBE level of DFT.

Properties
Formation energy without anion corrections, eV/atom: -1.37

Geometry as CIF:
```
data_Na3Pm2BiSe6
_chemical_formula_sum 'Na6 Pm4 Bi2 Se12'
_symmetry_space_group_name_H-M 'C 1 2/m 1'
_symmetry_Int_Tables_number 12
_symmetry_space_group_name_Hall '-C 2y'
_cell_length_a 7.366
_cell_length_b 12.756
_cell_length_c 7.451
_cell_angle_alpha 90.00
_cell_angle_beta 109.22
_cell_angle_gamma 90.00
loop_
_atom_site_label
_atom_site_fract_x
_atom_site_fract_y
_atom_site_fract_z
Na1 0.000 0.000 0.000
Na2 0.000 0.337 0.000
Pm1 0.000 0.167 0.500
Bi1 0.000 0.500 0.500
Se1 0.244 0.000 0.735
Se2 0.246 0.333 0.736
```

No. 2
Computed, not measured: a relaxed NaPmSnBi crystal at the GGA-PBE level of DFT.

Properties
Formation energy from the elements, eV per atom: -0.371

Geometry as CIF:
```
data_NaPmSnBi
_chemical_formula_sum 'Na4 Pm4 Sn4 Bi4'
_symmetry_space_group_name_H-M 'F -4 3 m'
_symmetry_Int_Tables_number 216
_symmetry_space_group_name_Hall 'F -4 2 3'
_cell_length_a 7.764
_cell_length_b 7.764
_cell_length_c 7.764
_cell_angle_alpha 90.00
_cell_angle_beta 90.00
_cell_angle_gamma 90.00
loop_
_atom_site_label
_atom_site_fract_x
_atom_site_fract_y
_atom_site_fract_z
Na1 0.000 0.000 0.000
Pm1 0.000 0.000 0.500
Sn1 0.250 0.250 0.250
Bi1 0.250 0.250 0.750
```

No. 3
Computed, not measured: a relaxed NaPmTlBi crystal at the GGA-PBE level of DFT.

Properties
Formation energy from the elements, eV per atom: -0.330

Geometry as CIF:
```
data_NaPmTlBi
_chemical_formula_sum 'Na4 Pm4 Tl4 Bi4'
_symmetry_space_group_name_H-M 'F -4 3 m'
_symmetry_Int_Tables_number 216
_symmetry_space_group_name_Hall 'F -4 2 3'
_cell_length_a 7.799
_cell_length_b 7.799
_cell_length_c 7.799
_cell_angle_alpha 90.00
_cell_angle_beta 90.00
_cell_angle_gamma 90.00
loop_
_atom_site_label
_atom_site_fract_x
_atom_site_fract_y
_atom_site_fract_z
Na1 0.000 0.000 0.000
Pm1 0.000 0.000 0.500
Tl1 0.250 0.250 0.250
Bi1 0.250 0.250 0.750
```

No. 4
Computed, not measured: a relaxed NaPrBiRh crystal at the GGA-PBE level of DFT.

Properties
Formation energy from the elements, eV per atom: -0.458

Geometry as CIF:
```
data_NaPrBiRh
_chemical_formula_sum 'Na4 Pr4 Bi4 Rh4'
_symmetry_space_group_name_H-M 'F -4 3 m'
_symmetry_Int_Tables_number 216
_symmetry_space_group_name_Hall 'F -4 2 3'
_cell_length_a 7.100
_cell_length_b 7.100
_cell_length_c 7.100
_cell_angle_alpha 90.00
_cell_angle_beta 90.00
_cell_angle_gamma 90.00
loop_
_atom_site_label
_atom_site_fract_x
_atom_site_fract_y
_atom_site_fract_z
Na1 0.000 0.000 0.000
Pr1 0.250 0.250 0.750
Bi1 0.250 0.250 0.250
Rh1 0.000 0.000 0.500
```

No. 5
Computed, not measured: a relaxed Na3PrBi2S6 crystal at the GGA-PBE level of DFT.

Properties
Formation energy without anion corrections, eV/atom: -1.10

Geometry as CIF:
```
data_Na3PrBi2S6
_chemical_formula_sum 'Na6 Pr2 Bi4 S12'
_symmetry_space_group_name_H-M 'C 1 2/m 1'
_symmetry_Int_Tables_number 12
_symmetry_space_group_name_Hall '-C 2y'
_cell_length_a 7.109
_cell_length_b 12.315
_cell_length_c 7.168
_cell_angle_alpha 90.00
_cell_angle_beta 109.27
_cell_angle_gamma 90.00
loop_
_atom_site_label
_atom_site_fract_x
_atom_site_fract_y
_atom_site_fract_z
Na1 0.000 0.000 0.000
Na2 0.000 0.330 0.000
Pr1 0.000 0.500 0.500
Bi1 0.000 0.166 0.500
S1 0.243 0.000 0.737
S2 0.246 0.332 0.736
```

No. 6
Computed, not measured: a relaxed Na3Pr3BiS8 crystal at the GGA-PBE level of DFT.

Properties
Formation energy without anion corrections, eV/atom: -1.43

Geometry as CIF:
```
data_Na3Pr3BiS8
_chemical_formula_sum 'Na9 Pr9 Bi3 S24'
_symmetry_space_group_name_H-M 'R -3 m'
_symmetry_Int_Tables_number 166
_symmetry_space_group_name_Hall '-R 3 2"'
_cell_length_a 8.2698
_cell_length_b 8.2698
_cell_length_c 20.2311
_cell_angle_alpha 90.00
_cell_angle_beta 90.00
_cell_angle_gamma 120.00
loop_
_atom_site_label
_atom_site_fract_x
_atom_site_fract_y
_atom_site_fract_z
Na1 0.0000 0.5000 0.0000
Pr1 0.0000 0.5000 0.5000
Bi1 0.0000 0.0000 0.5000
S1 0.0000 0.0000 0.2442
S2 0.0136 0.5068 0.2430
```

No. 7
Computed, not measured: a relaxed NaPrBi2S4 crystal at the GGA-PBE level of DFT.

Properties
Formation energy without anion corrections, eV/atom: -0.89

Geometry as CIF:
```
data_NaPrBi2S4
_chemical_formula_sum 'Na1 Pr1 Bi2 S4'
_symmetry_space_group_name_H-M 'P 1 2/m 1'
_symmetry_Int_Tables_number 10
_symmetry_space_group_name_Hall '-P 2y'
_cell_length_a 7.561
_cell_length_b 4.022
_cell_length_c 7.653
_cell_angle_alpha 90.00
_cell_angle_beta 108.93
_cell_angle_gamma 90.00
loop_
_atom_site_label
_atom_site_fract_x
_atom_site_fract_y
_atom_site_fract_z
Na1 0.000 0.000 0.000
Pr1 0.500 0.500 0.500
Bi1 0.000 0.000 0.500
Bi2 0.500 0.500 0.000
S1 0.107 0.500 0.293
S2 0.387 0.000 0.718
```

No. 8
Computed, not measured: a relaxed Na3Pr2BiS6 crystal at the GGA-PBE level of DFT.

Properties
Formation energy without anion corrections, eV/atom: -1.44

Geometry as CIF:
```
data_Na3Pr2BiS6
_chemical_formula_sum 'Na6 Pr4 Bi2 S12'
_symmetry_space_group_name_H-M 'C 1 2/m 1'
_symmetry_Int_Tables_number 12
_symmetry_space_group_name_Hall '-C 2y'
_cell_length_a 7.164
_cell_length_b 12.408
_cell_length_c 7.137
_cell_angle_alpha 90.00
_cell_angle_beta 109.52
_cell_angle_gamma 90.00
loop_
_atom_site_label
_atom_site_fract_x
_atom_site_fract_y
_atom_site_fract_z
Na1 0.000 0.000 0.000
Na2 0.000 0.337 0.000
Pr1 0.000 0.167 0.500
Bi1 0.000 0.500 0.500
S1 0.244 0.335 0.736
S2 0.247 0.000 0.734
```

No. 9
Computed, not measured: a relaxed NaPrBiSb crystal at the GGA-PBE level of DFT.

Properties
Formation energy without anion corrections, eV/atom: -0.50

Geometry as CIF:
```
data_NaPrBiSb
_chemical_formula_sum 'Na4 Pr4 Bi4 Sb4'
_symmetry_space_group_name_H-M 'F -4 3 m'
_symmetry_Int_Tables_number 216
_symmetry_space_group_name_Hall 'F -4 2 3'
_cell_length_a 7.843
_cell_length_b 7.843
_cell_length_c 7.843
_cell_angle_alpha 90.00
_cell_angle_beta 90.00
_cell_angle_gamma 90.00
loop_
_atom_site_label
_atom_site_fract_x
_atom_site_fract_y
_atom_site_fract_z
Na1 0.000 0.000 0.000
Pr1 0.000 0.000 0.500
Bi1 0.250 0.250 0.750
Sb1 0.250 0.250 0.250
```

No. 10
Computed, not measured: a relaxed Na3Pr2BiSe6 crystal at the GGA-PBE level of DFT.

Properties
Formation energy without anion corrections, eV/atom: -1.36

Geometry as CIF:
```
data_Na3Pr2BiSe6
_chemical_formula_sum 'Na6 Pr4 Bi2 Se12'
_symmetry_space_group_name_H-M 'C 1 2/m 1'
_symmetry_Int_Tables_number 12
_symmetry_space_group_name_Hall '-C 2y'
_cell_length_a 7.434
_cell_length_b 12.876
_cell_length_c 7.465
_cell_angle_alpha 90.00
_cell_angle_beta 109.35
_cell_angle_gamma 90.00
loop_
_atom_site_label
_atom_site_fract_x
_atom_site_fract_y
_atom_site_fract_z
Na1 0.000 0.000 0.000
Na2 0.000 0.337 0.000
Pr1 0.000 0.167 0.500
Bi1 0.000 0.500 0.500
Se1 0.245 0.335 0.738
Se2 0.248 0.000 0.737
```

No. 11
Computed, not measured: a relaxed Na3PrBi2Se6 crystal at the GGA-PBE level of DFT.

Properties
Formation energy without anion corrections, eV/atom: -1.05

Geometry as CIF:
```
data_Na3PrBi2Se6
_chemical_formula_sum 'Na6 Pr2 Bi4 Se12'
_symmetry_space_group_name_H-M 'C 1 2/m 1'
_symmetry_Int_Tables_number 12
_symmetry_space_group_name_Hall '-C 2y'
_cell_length_a 7.388
_cell_length_b 12.797
_cell_length_c 7.492
_cell_angle_alpha 90.00
_cell_angle_beta 109.14
_cell_angle_gamma 90.00
loop_
_atom_site_label
_atom_site_fract_x
_atom_site_fract_y
_atom_site_fract_z
Na1 0.000 0.000 0.000
Na2 0.000 0.329 0.000
Pr1 0.000 0.500 0.500
Bi1 0.000 0.166 0.500
Se1 0.243 0.000 0.739
Se2 0.247 0.332 0.737
```

No. 12
Computed, not measured: a relaxed NaPrSnBi crystal at the GGA-PBE level of DFT.

Properties
Formation energy from the elements, eV per atom: -0.381

Geometry as CIF:
```
data_NaPrSnBi
_chemical_formula_sum 'Na4 Pr4 Sn4 Bi4'
_symmetry_space_group_name_H-M 'F -4 3 m'
_symmetry_Int_Tables_number 216
_symmetry_space_group_name_Hall 'F -4 2 3'
_cell_length_a 7.823
_cell_length_b 7.823
_cell_length_c 7.823
_cell_angle_alpha 90.00
_cell_angle_beta 90.00
_cell_angle_gamma 90.00
loop_
_atom_site_label
_atom_site_fract_x
_atom_site_fract_y
_atom_site_fract_z
Na1 0.000 0.000 0.000
Pr1 0.000 0.000 0.500
Sn1 0.250 0.250 0.250
Bi1 0.250 0.250 0.750
```

No. 13
Computed, not measured: a relaxed Na3Pr2BiTe6 crystal at the GGA-PBE level of DFT.

Properties
Formation energy without anion corrections, eV/atom: -1.06

Geometry as CIF:
```
data_Na3Pr2BiTe6
_chemical_formula_sum 'Na6 Pr4 Bi2 Te12'
_symmetry_space_group_name_H-M 'C 1 2/m 1'
_symmetry_Int_Tables_number 12
_symmetry_space_group_name_Hall '-C 2y'
_cell_length_a 7.910
_cell_length_b 13.699
_cell_length_c 8.020
_cell_angle_alpha 90.00
_cell_angle_beta 109.17
_cell_angle_gamma 90.00
loop_
_atom_site_label
_atom_site_fract_x
_atom_site_fract_y
_atom_site_fract_z
Na1 0.000 0.000 0.000
Na2 0.000 0.336 0.000
Pr1 0.000 0.167 0.500
Bi1 0.000 0.500 0.500
Te1 0.244 0.336 0.740
Te2 0.250 0.000 0.738
```

No. 14
Computed, not measured: a relaxed Na3PrBi2Te6 crystal at the GGA-PBE level of DFT.

Properties
Formation energy without anion corrections, eV/atom: -0.80

Geometry as CIF:
```
data_Na3PrBi2Te6
_chemical_formula_sum 'Na6 Pr2 Bi4 Te12'
_symmetry_space_group_name_H-M 'C 1 2/m 1'
_symmetry_Int_Tables_number 12
_symmetry_space_group_name_Hall '-C 2y'
_cell_length_a 7.864
_cell_length_b 13.626
_cell_length_c 8.044
_cell_angle_alpha 90.00
_cell_angle_beta 109.01
_cell_angle_gamma 90.00
loop_
_atom_site_label
_atom_site_fract_x
_atom_site_fract_y
_atom_site_fract_z
Na1 0.000 0.000 0.000
Na2 0.000 0.330 0.000
Pr1 0.000 0.500 0.500
Bi1 0.000 0.167 0.500
Te1 0.241 0.000 0.740
Te2 0.248 0.330 0.737
```

No. 15
Computed, not measured: a relaxed NaPrTh2Bi4 crystal at the GGA-PBE level of DFT.

Properties
Formation energy from the elements, eV per atom: -0.600

Geometry as CIF:
```
data_NaPrTh2Bi4
_chemical_formula_sum 'Na1 Pr1 Th2 Bi4'
_symmetry_space_group_name_H-M 'P 1 2/m 1'
_symmetry_Int_Tables_number 10
_symmetry_space_group_name_Hall '-P 2y'
_cell_length_a 8.009
_cell_length_b 4.635
_cell_length_c 8.032
_cell_angle_alpha 90.00
_cell_angle_beta 109.18
_cell_angle_gamma 90.00
loop_
_atom_site_label
_atom_site_fract_x
_atom_site_fract_y
_atom_site_fract_z
Na1 0.000 0.000 0.000
Pr1 0.000 0.500 0.500
Th1 0.500 0.000 0.500
Th2 0.500 0.500 0.000
Bi1 0.253 0.000 0.753
Bi2 0.258 0.500 0.252
```

No. 16
Computed, not measured: a relaxed Na2PrZnBi2 crystal at the GGA-PBE level of DFT.

Properties
Formation energy from the elements, eV per atom: -0.433

Geometry as CIF:
```
data_Na2PrZnBi2
_chemical_formula_sum 'Na4 Pr2 Zn2 Bi4'
_symmetry_space_group_name_H-M 'P m c 21'
_symmetry_Int_Tables_number 26
_symmetry_space_group_name_Hall 'P 2c -2'
_cell_length_a 4.860
_cell_length_b 9.358
_cell_length_c 7.730
_cell_angle_alpha 90.00
_cell_angle_beta 90.00
_cell_angle_gamma 90.00
loop_
_atom_site_label
_atom_site_fract_x
_atom_site_fract_y
_atom_site_fract_z
Na1 0.000 0.071 0.000
Na2 0.500 0.146 0.316
Pr1 0.500 0.480 0.991
Zn1 0.000 0.333 0.651
Bi1 0.000 0.357 0.251
Bi2 0.500 0.188 0.732
```

No. 17
Computed, not measured: a relaxed Na3Bi3Pt2 crystal at the GGA-PBE level of DFT.

Properties
Formation energy from the elements, eV per atom: -0.317

Geometry as CIF:
```
data_Na3Bi3Pt2
_chemical_formula_sum 'Na12 Bi12 Pt8'
_symmetry_space_group_name_H-M 'C m c m'
_symmetry_Int_Tables_number 63
_symmetry_space_group_name_Hall '-C 2c 2'
_cell_length_a 4.741
_cell_length_b 11.245
_cell_length_c 15.914
_cell_angle_alpha 90.00
_cell_angle_beta 90.00
_cell_angle_gamma 90.00
loop_
_atom_site_label
_atom_site_fract_x
_atom_site_fract_y
_atom_site_fract_z
Na1 0.000 0.067 0.119
Na2 0.000 0.350 0.250
Bi1 0.000 0.352 0.750
Bi2 0.000 0.364 0.037
Pt1 0.000 0.220 0.606
```

No. 18
Computed, not measured: a relaxed Na2Bi2Pt3 crystal at the GGA-PBE level of DFT.

Properties
Offset from the most stable computed form, eV per atom: 0.000
Formation energy from the elements, eV per atom: -0.260

Geometry as CIF:
```
data_Na2Bi2Pt3
_chemical_formula_sum 'Na4 Bi4 Pt6'
_symmetry_space_group_name_H-M 'C 1 2/m 1'
_symmetry_Int_Tables_number 12
_symmetry_space_group_name_Hall '-C 2y'
_cell_length_a 11.811
_cell_length_b 4.345
_cell_length_c 7.345
_cell_angle_alpha 90.00
_cell_angle_beta 120.07
_cell_angle_gamma 90.00
loop_
_atom_site_label
_atom_site_fract_x
_atom_site_fract_y
_atom_site_fract_z
Na1 0.132 0.000 0.265
Bi1 0.157 0.000 0.761
Pt1 0.000 0.500 0.500
Pt2 0.081 0.500 0.924
```

No. 19
Computed, not measured: a relaxed NaBi2Pt2 crystal at the GGA-PBE level of DFT.

Properties
Offset from the most stable computed form, eV per atom: 0.131
Formation energy from the elements, eV per atom: -0.160

Geometry as CIF:
```
data_NaBi2Pt2
_chemical_formula_sum 'Na2 Bi4 Pt4'
_symmetry_space_group_name_H-M 'P 4/m b m'
_symmetry_Int_Tables_number 127
_symmetry_space_group_name_Hall '-P 4 2ab'
_cell_length_a 8.373
_cell_length_b 8.373
_cell_length_c 3.322
_cell_angle_alpha 90.00
_cell_angle_beta 90.00
_cell_angle_gamma 90.00
loop_
_atom_site_label
_atom_site_fract_x
_atom_site_fract_y
_atom_site_fract_z
Na1 0.000 0.000 0.000
Bi1 0.147 0.353 0.000
Pt1 0.147 0.647 0.500
```

No. 20
Computed, not measured: a relaxed Na4Bi5Pt2 crystal at the GGA-PBE level of DFT.

Properties
Formation energy from the elements, eV per atom: -0.173

Geometry as CIF:
```
data_Na4Bi5Pt2
_chemical_formula_sum 'Na4 Bi5 Pt2'
_symmetry_space_group_name_H-M 'P 1 2/m 1'
_symmetry_Int_Tables_number 10
_symmetry_space_group_name_Hall '-P 2y'
_cell_length_a 8.021
_cell_length_b 3.400
_cell_length_c 10.565
_cell_angle_alpha 90.00
_cell_angle_beta 93.32
_cell_angle_gamma 90.00
loop_
_atom_site_label
_atom_site_fract_x
_atom_site_fract_y
_atom_site_fract_z
Na1 0.165 0.000 0.377
Na2 0.241 0.000 0.946
Bi1 0.175 0.500 0.685
Bi2 0.411 0.500 0.187
Bi3 0.500 0.500 0.500
Pt1 0.063 0.500 0.129
```